Entry w
PmNd2Ag2 | PBE | optimized geometry

Cell lengths 3.752, 5.414, 13.948 Å; angles 90.00, 97.69, 90.00 degrees
Atoms (fractional coordinates):
Pm (0.145, 0.250, 0.290)
Pm (0.855, 0.750, 0.710)
Nd (0.047, 0.750, 0.095)
Nd (0.235, 0.750, 0.469)
Nd (0.765, 0.250, 0.531)
Nd (0.953, 0.250, 0.905)
Ag (0.358, 0.250, 0.717)
Ag (0.453, 0.750, 0.903)
Ag (0.547, 0.250, 0.097)
Ag (0.642, 0.750, 0.283)

Values from the calculation:
The calculation puts the total magnetic moment at 0.00 μB per atom. For the volume, the calculation gives 140.40 Å³/f.u.

Entry x
PmNd2Ag2 | PBE | optimized geometry

Cell lengths 5.841, 4.817, 11.066 Å; angles 90.00, 98.31, 90.00 degrees
Atoms (fractional coordinates):
Pm (0.083, 0.250, 0.281)
Pm (0.917, 0.750, 0.719)
Nd (0.242, 0.250, 0.955)
Nd (0.396, 0.250, 0.621)
Nd (0.604, 0.750, 0.379)
Nd (0.758, 0.750, 0.045)
Ag (0.131, 0.750, 0.472)
Ag (0.279, 0.750, 0.138)
Ag (0.721, 0.250, 0.862)
Ag (0.869, 0.250, 0.528)

Values from the calculation:
The calculation puts the total magnetic moment at 0.00 μB per atom. For the volume, the calculation gives 154.02 Å³/f.u.

Of them, the most stable is entry w and the least stable is entry x.

Entry w
PmNdAg6 | PBE | optimized geometry

Cell lengths 5.626, 5.626, 5.626 Å; angles 97.08, 96.98, 96.96 degrees
Atoms (fractional coordinates):
Pm (0.000, 0.000, 0.000)
Nd (0.500, 0.500, 0.500)
Ag (0.036, 0.751, 0.463)
Ag (0.249, 0.536, 0.964)
Ag (0.463, 0.036, 0.751)
Ag (0.537, 0.964, 0.249)
Ag (0.751, 0.464, 0.036)
Ag (0.964, 0.249, 0.537)

Values from the calculation:
The calculation puts the total magnetic moment at 0.00 μB per atom. For the volume, the calculation gives 173.75 Å³/f.u.

Entry x
PmNdAg6 | PBE | optimized geometry

Cell lengths 4.899, 6.655, 10.956 Å; angles 90.00, 90.00, 90.00 degrees
Atoms (fractional coordinates):
Pm (0.000, 0.000, 0.000)
Pm (0.000, 0.500, 0.500)
Nd (0.500, 0.000, 0.314)
Nd (0.500, 0.500, 0.814)
Ag (0.000, 0.000, 0.499)
Ag (0.000, 0.218, 0.736)
Ag (0.000, 0.282, 0.236)
Ag (0.000, 0.500, 0.999)
Ag (0.000, 0.718, 0.236)
Ag (0.000, 0.782, 0.736)
Ag (0.500, 0.000, 0.816)
Ag (0.500, 0.219, 0.577)
Ag (0.500, 0.281, 0.077)
Ag (0.500, 0.500, 0.316)
Ag (0.500, 0.719, 0.077)
Ag (0.500, 0.781, 0.577)

Values from the calculation:
The calculation puts the total magnetic moment at 0.00 μB per atom. For the volume, the calculation gives 178.59 Å³/f.u.

Of them, the most stable is entry w and the least stable is entry x.

Entry w
PmNd2Ag | PBE | optimized geometry

Cell lengths 3.695, 3.695, 32.168 Å; angles 90.00, 90.00, 120.00 degrees
Atoms (fractional coordinates):
Pm (0.000, 0.000, 0.000)
Pm (0.333, 0.667, 0.667)
Pm (0.667, 0.333, 0.333)
Nd (0.000, 0.000, 0.574)
Nd (0.000, 0.000, 0.760)
Nd (0.333, 0.667, 0.241)
Nd (0.333, 0.667, 0.427)
Nd (0.667, 0.333, 0.093)
Nd (0.667, 0.333, 0.908)
Ag (0.000, 0.000, 0.168)
Ag (0.333, 0.667, 0.834)
Ag (0.667, 0.333, 0.501)

Values from the calculation:
The calculation puts the total magnetic moment at 0.00 μB per atom. For the volume, the calculation gives 126.81 Å³/f.u.

Entry x
PmNd2Ag | PBE | optimized geometry

Cell lengths 3.723, 3.723, 8.895 Å; angles 90.00, 90.00, 90.00 degrees
Atoms (fractional coordinates):
Pm (0.000, 0.000, 0.000)
Nd (0.500, 0.500, 0.285)
Nd (0.500, 0.500, 0.715)
Ag (0.000, 0.000, 0.500)

Values from the calculation:
The calculation puts the total magnetic moment at 0.00 μB per atom. For the volume, the calculation gives 123.28 Å³/f.u.

Entry y
PmNd2Ag | PBE | optimized geometry

Cell lengths 7.092, 10.607, 6.651 Å; angles 90.00, 90.00, 90.00 degrees
Atoms (fractional coordinates):
Pm (0.010, 0.250, 0.128)
Pm (0.490, 0.750, 0.628)
Pm (0.510, 0.250, 0.372)
Pm (0.990, 0.750, 0.872)
Nd (0.195, 0.044, 0.670)
Nd (0.195, 0.456, 0.670)
Nd (0.305, 0.544, 0.170)
Nd (0.305, 0.956, 0.170)
Nd (0.695, 0.044, 0.830)
Nd (0.695, 0.456, 0.830)
Nd (0.805, 0.544, 0.330)
Nd (0.805, 0.956, 0.330)
Ag (0.099, 0.750, 0.419)
Ag (0.401, 0.250, 0.919)
Ag (0.599, 0.750, 0.081)
Ag (0.901, 0.250, 0.581)

Values from the calculation:
The calculation puts the total magnetic moment at 0.00 μB per atom. For the volume, the calculation gives 125.07 Å³/f.u.

Of them, the most stable is entry x and the least stable is entry w.

Entry w
PmNd2Ag | PBE | optimized geometry

Cell lengths 7.827, 7.827, 7.827 Å; angles 90.00, 90.00, 90.00 degrees
Atoms (fractional coordinates):
Pm (0.000, 0.000, 0.000)
Pm (0.000, 0.500, 0.500)
Pm (0.500, 0.000, 0.500)
Pm (0.500, 0.500, 0.000)
Nd (0.250, 0.250, 0.250)
Nd (0.250, 0.250, 0.750)
Nd (0.250, 0.750, 0.250)
Nd (0.250, 0.750, 0.750)
Nd (0.750, 0.250, 0.250)
Nd (0.750, 0.250, 0.750)
Nd (0.750, 0.750, 0.250)
Nd (0.750, 0.750, 0.750)
Ag (0.000, 0.000, 0.500)
Ag (0.000, 0.500, 0.000)
Ag (0.500, 0.000, 0.000)
Ag (0.500, 0.500, 0.500)

Values from the calculation:
The calculation puts the total magnetic moment at 0.00 μB per atom. For the volume, the calculation gives 119.89 Å³/f.u.

Entry x
PmNd2Ag | PBE | optimized geometry

Cell lengths 5.060, 12.108, 8.146 Å; angles 90.00, 90.00, 90.00 degrees
Atoms (fractional coordinates):
Pm (0.000, 0.053, 0.250)
Pm (0.000, 0.947, 0.750)
Pm (0.500, 0.447, 0.750)
Pm (0.500, 0.553, 0.250)
Nd (0.000, 0.361, 0.033)
Nd (0.000, 0.361, 0.467)
Nd (0.000, 0.639, 0.533)
Nd (0.000, 0.639, 0.967)
Nd (0.500, 0.139, 0.533)
Nd (0.500, 0.139, 0.967)
Nd (0.500, 0.861, 0.033)
Nd (0.500, 0.861, 0.467)
Ag (0.000, 0.204, 0.750)
Ag (0.000, 0.796, 0.250)
Ag (0.500, 0.296, 0.250)
Ag (0.500, 0.704, 0.750)

Values from the calculation:
The calculation puts the total magnetic moment at 0.00 μB per atom. For the volume, the calculation gives 124.77 Å³/f.u.

Of them, the most stable is entry x and the least stable is entry w.

Entry w
PmNdAg3 | PBE | optimized geometry

Cell lengths 8.957, 8.957, 7.548 Å; angles 90.00, 90.00, 60.56 degrees
Atoms (fractional coordinates):
Pm (0.000, 0.500, 0.250)
Pm (0.000, 0.500, 0.750)
Pm (0.500, 0.000, 0.250)
Pm (0.500, 0.000, 0.750)
Nd (0.000, 0.000, 0.250)
Nd (0.000, 0.000, 0.750)
Nd (0.499, 0.501, 0.750)
Nd (0.501, 0.499, 0.250)
Ag (0.179, 0.640, 0.001)
Ag (0.179, 0.640, 0.499)
Ag (0.183, 0.183, 0.000)
Ag (0.183, 0.183, 0.500)
Ag (0.360, 0.821, 0.001)
Ag (0.360, 0.821, 0.499)
Ag (0.640, 0.179, 0.501)
Ag (0.640, 0.179, 0.999)
Ag (0.817, 0.817, 0.000)
Ag (0.817, 0.817, 0.500)
Ag (0.821, 0.360, 0.501)
Ag (0.821, 0.360, 0.999)

Values from the calculation:
The calculation puts the total magnetic moment at 0.03 μB per atom. For the volume, the calculation gives 131.83 Å³/f.u.

Entry x
PmNdAg3 | PBE | optimized geometry

Cell lengths 5.670, 5.881, 8.482 Å; angles 108.10, 90.04, 100.83 degrees
Atoms (fractional coordinates):
Pm (0.056, 0.309, 0.134)
Pm (0.944, 0.691, 0.866)
Nd (0.298, 0.151, 0.652)
Nd (0.702, 0.849, 0.348)
Ag (0.000, 0.500, 0.500)
Ag (0.190, 0.867, 0.235)
Ag (0.474, 0.680, 0.657)
Ag (0.500, 0.000, 0.000)
Ag (0.526, 0.320, 0.343)
Ag (0.810, 0.133, 0.765)

Values from the calculation:
The calculation puts the total magnetic moment at 0.00 μB per atom. For the volume, the calculation gives 131.74 Å³/f.u.

Of them, the most stable is entry w and the least stable is entry x.

Entry w
PmPrNdAg | PBE | optimized geometry

Cell lengths 3.737, 3.737, 8.858 Å; angles 90.00, 90.00, 90.00 degrees
Atoms (fractional coordinates):
Pm (0.000, 0.000, 0.000)
Pr (0.500, 0.500, 0.712)
Nd (0.000, 0.000, 0.422)
Ag (0.500, 0.500, 0.208)

Values from the calculation:
The calculation puts the total magnetic moment at 0.00 μB per atom. For the volume, the calculation gives 123.68 Å³/f.u.

Entry x
PmPrNdAg | PBE | optimized geometry

Cell lengths 7.849, 7.849, 7.849 Å; angles 90.00, 90.00, 90.00 degrees
Atoms (fractional coordinates):
Pm (0.000, 0.000, 0.000)
Pm (0.000, 0.500, 0.500)
Pm (0.500, 0.000, 0.500)
Pm (0.500, 0.500, 0.000)
Pr (0.250, 0.250, 0.750)
Pr (0.250, 0.750, 0.250)
Pr (0.750, 0.250, 0.250)
Pr (0.750, 0.750, 0.750)
Nd (0.250, 0.250, 0.250)
Nd (0.250, 0.750, 0.750)
Nd (0.750, 0.250, 0.750)
Nd (0.750, 0.750, 0.250)
Ag (0.000, 0.000, 0.500)
Ag (0.000, 0.500, 0.000)
Ag (0.500, 0.000, 0.000)
Ag (0.500, 0.500, 0.500)

Values from the calculation:
The calculation puts the total magnetic moment at 0.00 μB per atom. For the volume, the calculation gives 120.87 Å³/f.u.

Of them, the most stable is entry w and the least stable is entry x.